[1]
In2Pd2Au7 | GGA-PBE | optimized geometry

The structure in CIF format:
```
data_In2Pd2Au7
_chemical_formula_sum 'In4 Pd4 Au14'
_cell_length_a 9.5274
_cell_length_b 9.5576
_cell_length_c 5.0554
_cell_angle_alpha 90.00
_cell_angle_beta 115.08
_cell_angle_gamma 90.00
_symmetry_space_group_name_H-M 'C 1 2/m 1'
_symmetry_Int_Tables_number 12
loop_
_symmetry_equiv_pos_as_xyz
'x,y,z'
'-x,-y,-z'
'-x,y,-z'
'x,-y,z'
'x+1/2,y+1/2,z'
'-x+1/2,-y+1/2,-z'
'-x+1/2,y+1/2,-z'
'x+1/2,-y+1/2,z'
loop_
_atom_site_label
_atom_site_fract_x
_atom_site_fract_y
_atom_site_fract_z
In1 0.2048 0.0000 0.0885
Pd1 0.0000 0.2276 0.0000
Au1 0.0000 0.0000 0.5000
Au2 0.0852 0.5000 0.3005
Au3 0.1674 0.2464 0.6665
```

Summary:
Total DFT energy (no corrections) in eV/atom: -3.6278
Total magnetization in μB per formula unit: 0.0
V in Å³ per cell: 416.9
Formation energy from the elements in eV/atom: -0.10


[2]
In2Pd3Au8 | GGA-PBE | optimized geometry

The structure in CIF format:
```
data_In2Pd3Au8
_chemical_formula_sum 'In6 Pd9 Au24'
_cell_length_a 5.4316
_cell_length_b 5.4316
_cell_length_c 30.2630
_cell_angle_alpha 90.00
_cell_angle_beta 90.00
_cell_angle_gamma 120.00
_symmetry_space_group_name_H-M 'R -3 m'
_symmetry_Int_Tables_number 166
_symmetry_space_group_name_Hall '-R 3 2"'
loop_
_atom_site_label
_atom_site_fract_x
_atom_site_fract_y
_atom_site_fract_z
In1 0.0000 0.0000 0.1353
Pd1 0.0000 0.0000 0.3126
Pd2 0.0000 0.0000 0.5000
Au1 0.0000 0.0000 0.2225
Au2 0.0003 0.5002 0.2764
```

Summary:
Total DFT energy (no corrections) in eV/atom: -3.5960
Total magnetization in μB per formula unit: 0.0
V in Å³ per cell: 773.2
Formation energy from the elements in eV/atom: 0.04


[3]
InPd2Au2 | GGA-PBE | optimized geometry

The structure in CIF format:
```
data_InPd2Au2
_chemical_formula_sum 'In4 Pd8 Au8'
_cell_length_a 9.1666
_cell_length_b 4.1061
_cell_length_c 9.2292
_cell_angle_alpha 90.00
_cell_angle_beta 90.10
_cell_angle_gamma 90.00
_symmetry_space_group_name_H-M 'C 1 2/m 1'
_symmetry_Int_Tables_number 12
loop_
_symmetry_equiv_pos_as_xyz
'x,y,z'
'-x,-y,-z'
'-x,y,-z'
'x,-y,z'
'x+1/2,y+1/2,z'
'-x+1/2,-y+1/2,-z'
'-x+1/2,y+1/2,-z'
'x+1/2,-y+1/2,z'
loop_
_atom_site_label
_atom_site_fract_x
_atom_site_fract_y
_atom_site_fract_z
In1 0.2457 0.0000 0.2424
Pd1 0.0484 0.5000 0.3489
Pd2 0.1488 0.5000 0.0514
Au1 0.0524 0.0000 0.8530
Au2 0.1485 0.0000 0.5479
```

Summary:
Energy above the lowest structure with this stoichiometry in meV per atom: 0
Total DFT energy (no corrections) in eV/atom: -4.2145
Total magnetization in μB per formula unit: 0.0
V in Å³ per cell: 347.4
Formation energy from the elements in eV/atom: -0.28


[4]
In4Pd4Au3 | GGA-PBE | optimized geometry

The structure in CIF format:
```
data_In4Pd4Au3
_chemical_formula_sum 'In4 Pd4 Au3'
_cell_length_a 3.6661
_cell_length_b 4.4018
_cell_length_c 13.1927
_cell_angle_alpha 80.64
_cell_angle_beta 82.07
_cell_angle_gamma 90.00
_symmetry_space_group_name_H-M 'P -1'
_symmetry_Int_Tables_number 2
loop_
_symmetry_equiv_pos_as_xyz
'x,y,z'
'-x,-y,-z'
loop_
_atom_site_label
_atom_site_fract_x
_atom_site_fract_y
_atom_site_fract_z
In1 0.0718 0.0667 0.3630
In2 0.1737 0.6700 0.1540
Pd1 0.2487 0.2488 0.0019
Pd2 0.4115 0.4143 0.6751
Au1 0.0000 0.5000 0.5000
Au2 0.3362 0.8403 0.8255
```

Summary:
Total DFT energy (no corrections) in eV/atom: -4.1206
Total magnetization in μB per formula unit: 0.0
V in Å³ per cell: 208.0
Formation energy from the elements in eV/atom: -0.34


[5]
In2Pd7Au2 | GGA-PBE | optimized geometry

The structure in CIF format:
```
data_In2Pd7Au2
_chemical_formula_sum 'In4 Pd14 Au4'
_cell_length_a 9.7368
_cell_length_b 8.4832
_cell_length_c 4.8676
_cell_angle_alpha 90.00
_cell_angle_beta 101.06
_cell_angle_gamma 90.00
_symmetry_space_group_name_H-M 'C 1 2/m 1'
_symmetry_Int_Tables_number 12
loop_
_symmetry_equiv_pos_as_xyz
'x,y,z'
'-x,-y,-z'
'-x,y,-z'
'x,-y,z'
'x+1/2,y+1/2,z'
'-x+1/2,-y+1/2,-z'
'-x+1/2,y+1/2,-z'
'x+1/2,-y+1/2,z'
loop_
_atom_site_label
_atom_site_fract_x
_atom_site_fract_y
_atom_site_fract_z
In1 0.0000 0.2090 0.0000
Pd1 0.0000 0.0000 0.5000
Pd2 0.0425 0.5000 0.2692
Pd3 0.2251 0.1744 0.7371
Au1 0.2436 0.0000 0.2412
```

Summary:
Total DFT energy (no corrections) in eV/atom: -4.5462
Total magnetization in μB per formula unit: 0.0
V in Å³ per cell: 394.6
Formation energy from the elements in eV/atom: -0.15


[6]
InPd5Au | GGA-PBE | optimized geometry

The structure in CIF format:
```
data_InPd5Au
_chemical_formula_sum 'In2 Pd10 Au2'
_cell_length_a 5.6897
_cell_length_b 7.8022
_cell_length_c 5.6145
_cell_angle_alpha 90.00
_cell_angle_beta 90.00
_cell_angle_gamma 90.00
_symmetry_space_group_name_H-M 'C m m m'
_symmetry_Int_Tables_number 65
_symmetry_space_group_name_Hall '-C 2 2'
loop_
_atom_site_label
_atom_site_fract_x
_atom_site_fract_y
_atom_site_fract_z
In1 0.0000 0.0000 0.0000
Pd1 0.0000 0.5000 0.0000
Pd2 0.2500 0.2500 0.2540
Au1 0.0000 0.5000 0.5000
```

Summary:
Energy above the lowest structure with this stoichiometry in meV per atom: 0
Total DFT energy (no corrections) in eV/atom: -4.7438
Total magnetization in μB per formula unit: 0.0
V in Å³ per cell: 249.2
Formation energy from the elements in eV/atom: -0.18


[7]
InPd7Au5 | GGA-PBE | optimized geometry

The structure in CIF format:
```
data_InPd7Au5
_chemical_formula_sum 'In2 Pd14 Au10'
_cell_length_a 5.4644
_cell_length_b 9.2494
_cell_length_c 9.3374
_cell_angle_alpha 90.00
_cell_angle_beta 90.00
_cell_angle_gamma 90.00
_symmetry_space_group_name_H-M 'I m m 2'
_symmetry_Int_Tables_number 44
loop_
_symmetry_equiv_pos_as_xyz
'x,y,z'
'-x,-y,z'
'-x,y,z'
'x,-y,z'
'x+1/2,y+1/2,z+1/2'
'-x+1/2,-y+1/2,z+1/2'
'-x+1/2,y+1/2,z+1/2'
'x+1/2,-y+1/2,z+1/2'
loop_
_atom_site_label
_atom_site_fract_x
_atom_site_fract_y
_atom_site_fract_z
In1 0.0000 0.0000 0.0000
Pd1 0.0000 0.0000 0.3107
Pd2 0.0000 0.0000 0.6035
Pd3 0.0000 0.3128 0.9644
Pd4 0.0000 0.3418 0.4650
Pd5 0.0000 0.5000 0.7240
Au1 0.0000 0.5000 0.2023
Au2 0.2484 0.2506 0.7153
```

Summary:
Total DFT energy (no corrections) in eV/atom: -4.2572
Total magnetization in μB per formula unit: 0.0
V in Å³ per cell: 471.9
Formation energy from the elements in eV/atom: 0.01


[8]
In3Pd6Au | GGA-PBE | optimized geometry

The structure in CIF format:
```
data_In3Pd6Au
_chemical_formula_sum 'In12 Pd24 Au4'
_cell_length_a 10.0200
_cell_length_b 13.7936
_cell_length_c 5.2174
_cell_angle_alpha 90.00
_cell_angle_beta 90.00
_cell_angle_gamma 90.00
_symmetry_space_group_name_H-M 'C m c 21'
_symmetry_Int_Tables_number 36
loop_
_symmetry_equiv_pos_as_xyz
'x,y,z'
'-x,-y,z+1/2'
'-x,y,z'
'x,-y,z+1/2'
'x+1/2,y+1/2,z'
'-x+1/2,-y+1/2,z+1/2'
'-x+1/2,y+1/2,z'
'x+1/2,-y+1/2,z+1/2'
loop_
_atom_site_label
_atom_site_fract_x
_atom_site_fract_y
_atom_site_fract_z
In1 0.0000 0.1244 0.0000
In2 0.1894 0.3997 0.6892
Pd1 0.0000 0.2338 0.5047
Pd2 0.0000 0.4641 0.3559
Pd3 0.1370 0.0452 0.5566
Pd4 0.2477 0.2931 0.2638
Au1 0.0000 0.3192 0.0103
```

Summary:
Energy above the lowest structure with this stoichiometry in meV per atom: 137
Total DFT energy (no corrections) in eV/atom: -4.5476
Total magnetization in μB per formula unit: 0.0
V in Å³ per cell: 721.1
Formation energy from the elements in eV/atom: -0.28


[9]
In2PdAu | GGA-PBE | optimized geometry

The structure in CIF format:
```
data_In2PdAu
_chemical_formula_sum 'In6 Pd3 Au3'
_cell_length_a 3.1502
_cell_length_b 3.1502
_cell_length_c 29.8927
_cell_angle_alpha 90.00
_cell_angle_beta 90.00
_cell_angle_gamma 120.00
_symmetry_space_group_name_H-M 'R -3 m'
_symmetry_Int_Tables_number 166
_symmetry_space_group_name_Hall '-R 3 2"'
loop_
_atom_site_label
_atom_site_fract_x
_atom_site_fract_y
_atom_site_fract_z
In1 0.0000 0.0000 0.0880
Pd1 0.0000 0.0000 0.0000
Au1 0.0000 0.0000 0.5000
```

Summary:
Total DFT energy (no corrections) in eV/atom: -3.4451
Total magnetization in μB per formula unit: 0.0
V in Å³ per cell: 256.9
Formation energy from the elements in eV/atom: 0.04


[10]
In3Pd12Au | GGA-PBE | optimized geometry

The structure in CIF format:
```
data_In3Pd12Au
_chemical_formula_sum 'In3 Pd12 Au1'
_cell_length_a 4.0345
_cell_length_b 4.0345
_cell_length_c 16.0473
_cell_angle_alpha 90.00
_cell_angle_beta 90.00
_cell_angle_gamma 90.00
_symmetry_space_group_name_H-M 'P 4/m m m'
_symmetry_Int_Tables_number 123
_symmetry_space_group_name_Hall '-P 4 2'
loop_
_atom_site_label
_atom_site_fract_x
_atom_site_fract_y
_atom_site_fract_z
In1 0.0000 0.0000 0.0000
In2 0.0000 0.0000 0.2510
Pd1 0.0000 0.5000 0.1261
Pd2 0.0000 0.5000 0.3760
Pd3 0.5000 0.5000 0.0000
Pd4 0.5000 0.5000 0.2518
Pd5 0.5000 0.5000 0.5000
Au1 0.0000 0.0000 0.5000
```

Summary:
Total DFT energy (no corrections) in eV/atom: -4.9493
Total magnetization in μB per formula unit: 0.0
V in Å³ per cell: 261.2
Formation energy from the elements in eV/atom: -0.34


Q: Look up the total magnetization of the first one.
A: 0.0 μB per formula unit


Q: Look up the formation energy from the elements of the seventh one.
A: 0.01 eV/atom


Q: Which formula does entry 7 have?
A: InPd7Au5